Below is a relaxed structure of ZnInTc, with properties calculated at the PBE level.

Calculated values
**Polymorph energy (0 for the lowest one)**: 34 kJ/mol of formula units
**DOS at the Fermi energy**: 0.67 states/eV/atom
**ΔE_f**: 0.280 eV/atom

Geometry as CIF:
```
data_ZnInTc
_chemical_formula_sum 'Zn1 In1 Tc1'
_space_group_name_H-M_alt 'P 3 m 1'
_space_group_IT_number 156
_cell_length_a 4.5106
_cell_length_b 4.5106
_cell_length_c 2.8215
_cell_angle_alpha 90.00
_cell_angle_beta 90.00
_cell_angle_gamma 120.00
loop_
_space_group_symop_operation_xyz
'x,y,z'
'-y,x-y,z'
'-x+y,-x,z'
'-y,-x,z'
'-x+y,y,z'
'x,x-y,z'
loop_
_atom_site_label
_atom_site_fract_x
_atom_site_fract_y
_atom_site_fract_z
Zn1 0.0000 0.0000 0.0000
In1 0.6667 0.3333 0.1622
Tc1 0.3333 0.6667 0.6266
```